# 1
The following is a PBE-GGA calculation of a relaxed CuTcAg2Sb crystal, from the Alexandria database.

* Fermi-level density of states: 3.514 states/eV per cell
* total moment: 1.35 μB/cell
* uncorrected formation energy: 1.21 eV per atom

```
data_CuTcAg2Sb
_chemical_formula_sum 'Cu1 Tc1 Ag2 Sb1'
_space_group_name_H-M_alt 'P 1'
_space_group_IT_number 1
_space_group_name_Hall 'P 1'
_cell_length_a 5.1570
_cell_length_b 4.9808
_cell_length_c 5.1570
_cell_angle_alpha 90.00
_cell_angle_beta 90.00
_cell_angle_gamma 90.00
loop_
_atom_site_label
_atom_site_type_symbol
_atom_site_fract_x
_atom_site_fract_y
_atom_site_fract_z
_atom_site_occupancy
Cu1 Cu 0.5000 0.5000 0.5000 1
Ag1 Ag 0.0000 0.0000 0.5000 1
Ag2 Ag 0.5000 0.0000 0.0000 1
Tc1 Tc 0.0000 0.0000 0.0000 1
Sb1 Sb 0.0000 0.5000 0.0000 1
```



# 2
The following is a PBE-GGA calculation of a relaxed ScSbPdRh2 crystal, from the Alexandria database.

* Fermi-level density of states: 6.140 states/eV per cell
* total moment: 0.76 μB/cell
* uncorrected formation energy: 0.52 eV per atom

```
data_ScSbPdRh2
_chemical_formula_sum 'Sc1 Sb1 Pd1 Rh2'
_space_group_name_H-M_alt 'P 1'
_space_group_IT_number 1
_space_group_name_Hall 'P 1'
_cell_length_a 4.8797
_cell_length_b 4.8797
_cell_length_c 4.6285
_cell_angle_alpha 90.00
_cell_angle_beta 90.00
_cell_angle_gamma 90.00
loop_
_atom_site_label
_atom_site_type_symbol
_atom_site_fract_x
_atom_site_fract_y
_atom_site_fract_z
_atom_site_occupancy
Sb1 Sb 0.5000 0.5000 0.5000 1
Pd1 Pd 0.0000 0.0000 0.0000 1
Rh1 Rh 0.5000 0.0000 0.0000 1
Rh2 Rh 0.0000 0.5000 0.0000 1
Sc1 Sc 0.0000 0.0000 0.5000 1
```



# 3
The following is a PBE-GGA calculation of a relaxed PrNdAg2Te4 crystal, from the Alexandria database.

* Fermi-level density of states: 1.353 states/eV per cell
* total moment: 0.00 μB/cell
* uncorrected formation energy: -0.76 eV per atom

```
data_PrNdAg2Te4
_chemical_formula_sum 'Pr1 Nd1 Ag2 Te4'
_space_group_name_H-M_alt 'P 1'
_space_group_IT_number 1
_space_group_name_Hall 'P 1'
_cell_length_a 7.6591
_cell_length_b 6.9734
_cell_length_c 6.9734
_cell_angle_alpha 66.79
_cell_angle_beta 56.69
_cell_angle_gamma 56.69
loop_
_atom_site_label
_atom_site_type_symbol
_atom_site_fract_x
_atom_site_fract_y
_atom_site_fract_z
_atom_site_occupancy
Te1 Te 0.5606 0.4306 0.9351 1
Te2 Te 0.9263 0.5694 0.0649 1
Te3 Te 0.4394 0.0649 0.5694 1
Te4 Te 0.0737 0.9351 0.4306 1
Nd1 Nd 0.5000 0.5000 0.5000 1
Pr1 Pr 0.0000 0.0000 0.0000 1
Ag1 Ag 0.1601 0.3399 0.3399 1
Ag2 Ag 0.8399 0.6601 0.6601 1
```



# 4
The following is a PBE-GGA calculation of a relaxed ZrNiAgPd crystal, from the Alexandria database.

* energy of formation: -0.303 eV/atom
* Fermi-level density of states: 3.103 states/eV per cell
* total moment: 0.00 μB/cell

```
data_ZrNiAgPd
_chemical_formula_sum 'Zr1 Ni1 Ag1 Pd1'
_space_group_name_H-M_alt 'P 1'
_space_group_IT_number 1
_space_group_name_Hall 'P 1'
_cell_length_a 4.5365
_cell_length_b 4.5365
_cell_length_c 4.5365
_cell_angle_alpha 60.00
_cell_angle_beta 60.00
_cell_angle_gamma 60.00
loop_
_atom_site_label
_atom_site_type_symbol
_atom_site_fract_x
_atom_site_fract_y
_atom_site_fract_z
_atom_site_occupancy
Zr1 Zr 0.5000 0.5000 0.5000 1
Ni1 Ni 0.7500 0.7500 0.7500 1
Ag1 Ag 0.0000 0.0000 0.0000 1
Pd1 Pd 0.2500 0.2500 0.2500 1
```



# 5
The following is a PBE-GGA calculation of a relaxed KLa2Mo crystal, from the Alexandria database.

* energy of formation: 0.984 eV/atom
* Fermi-level density of states: 4.818 states/eV per cell
* total moment: 0.95 μB/cell
* energy above the lowest structure with this stoichiometry: 628 meV per atom

```
data_KLa2Mo
_chemical_formula_sum 'K1 La2 Mo1'
_space_group_name_H-M_alt 'P 1'
_space_group_IT_number 1
_space_group_name_Hall 'P 1'
_cell_length_a 6.2384
_cell_length_b 6.2384
_cell_length_c 6.2384
_cell_angle_alpha 134.98
_cell_angle_beta 134.98
_cell_angle_gamma 65.56
loop_
_atom_site_label
_atom_site_type_symbol
_atom_site_fract_x
_atom_site_fract_y
_atom_site_fract_z
_atom_site_occupancy
K1 K 0.7500 0.2500 0.5000 1
La1 La 0.0000 0.0000 0.0000 1
La2 La 0.2500 0.7500 0.5000 1
Mo1 Mo 0.5000 0.5000 0.0000 1
```



# 6
The following is a PBE-GGA calculation of a relaxed K5RbNa5 crystal, from the Alexandria database.

* energy of formation: 0.017 eV/atom
* Fermi-level density of states: 6.509 states/eV per cell
* total moment: 0.00 μB/cell

```
data_K5RbNa5
_chemical_formula_sum 'K5 Rb1 Na5'
_space_group_name_H-M_alt 'P 1'
_space_group_IT_number 1
_space_group_name_Hall 'P 1'
_cell_length_a 7.3238
_cell_length_b 7.3238
_cell_length_c 13.5904
_cell_angle_alpha 90.00
_cell_angle_beta 90.00
_cell_angle_gamma 120.00
loop_
_atom_site_label
_atom_site_type_symbol
_atom_site_fract_x
_atom_site_fract_y
_atom_site_fract_z
_atom_site_occupancy
Na1 Na 0.0000 0.0000 0.7179 1
Na2 Na 0.0000 0.0000 0.2821 1
Na3 Na 0.8302 0.6604 0.5000 1
Na4 Na 0.8302 0.1698 0.5000 1
Na5 Na 0.3396 0.1698 0.5000 1
K1 K 0.3333 0.6667 0.6633 1
K2 K 0.6667 0.3333 0.2011 1
K3 K 0.0000 0.0000 0.0000 1
K4 K 0.3333 0.6667 0.3367 1
K5 K 0.6667 0.3333 0.7989 1
Rb1 Rb 0.3333 0.6667 0.0000 1
```